Record 1
Entry from OQMD via LeMat-Bulk: a relaxed structure of TmPbNO (PBE).

space-group type: Pmc2_1, No. 26
calculated volume: 75.9 Å³/f.u.
polymorph energy (0 for the lowest one): 225 meV/atom

POSCAR file:
```
TmPbNO
1.0
3.797 0.000 0.000
0.000 6.200 0.000
0.000 0.000 6.449
N O Pb Tm
2 2 2 2
Cartesian
0.000 3.971 0.512
0.000 2.229 3.737
1.898 0.625 1.211
1.898 5.575 4.436
0.000 4.350 3.059
0.000 1.850 6.284
1.898 5.059 0.029
1.898 1.141 3.253
```

***

Record 2
Entry from OQMD via LeMat-Bulk: a relaxed structure of NaCuTe3Os (PBE).

final energy: -26.10 eV/f.u.
space-group type: Cmcm, No. 63
calculated volume: 143.0 Å³/f.u.

POSCAR file:
```
NaCuTe3Os
1.0
10.259 0.000 0.000
0.000 1.990 7.005
0.000 -1.990 7.005
Cu Na Os Te
2 2 2 6
Cartesian
0.000 0.000 0.594
5.130 0.000 13.416
5.130 0.000 3.793
0.000 0.000 10.217
2.565 0.000 7.005
7.694 0.000 7.005
2.231 0.000 1.808
8.028 0.000 1.808
0.000 0.000 5.897
5.130 0.000 8.113
2.899 0.000 12.202
7.360 0.000 12.202
```

***

Record 3
Entry from OQMD via LeMat-Bulk: a relaxed structure of DyHgAsO (PBE).

space-group type: P4/nmm, No. 129
calculated volume: 77.4 Å³/f.u.
polymorph energy (0 for the lowest one): 0 meV/atom

POSCAR file:
```
DyHgAsO
1.0
-2.191 1.272 3.233
3.126 -0.945 2.490
3.385 8.462 -1.036
As Dy Hg O
2 2 2 2
Cartesian
2.539 1.967 0.946
1.314 6.659 0.879
-0.718 1.579 1.501
4.571 7.047 0.324
1.692 4.231 -0.518
2.160 4.395 2.343
0.000 0.000 0.000
0.468 0.163 2.862
```

***

Record 4
Entry from OQMD via LeMat-Bulk: a relaxed structure of Hf2Os (PBE).

space-group type: C2/m, No. 12
calculated volume: 58.9 Å³/f.u.
DFT formation energy: -0.33 eV/atom

POSCAR file:
```
Hf2Os
1.0
5.564 -1.635 0.000
5.564 1.635 0.000
-3.886 0.000 6.475
Hf Os
4 2
Cartesian
4.043 0.000 0.840
7.724 0.000 2.892
-0.483 0.000 3.583
3.198 0.000 5.635
0.853 0.000 1.224
6.388 0.000 5.251
```

***

Record 5
Entry from OQMD via LeMat-Bulk: a relaxed structure of K2Rb3GaAu2 (PBE).

final energy: -15.82 eV/f.u.
space-group type: Cm, No. 8
calculated volume: 397.0 Å³/f.u.

POSCAR file:
```
K2Rb3GaAu2
1.0
-5.919 3.936 8.977
-2.297 1.749 11.081
4.689 5.859 -1.981
Au Ga K Rb
2 1 2 3
Cartesian
-0.124 4.429 4.819
-3.266 7.336 13.251
1.507 5.404 3.024
-1.829 4.542 7.872
-1.472 7.684 10.523
-5.644 5.114 15.035
0.267 2.126 1.750
-3.549 9.541 16.032
```

***

Record 6
Entry from OQMD via LeMat-Bulk: a relaxed structure of AlHgSO (PBE).

space-group type: Pca2_1, No. 29
calculated volume: 76.7 Å³/f.u.
polymorph energy (0 for the lowest one): 421 meV/atom

POSCAR file:
```
AlHgSO
1.0
6.170 0.000 0.000
0.000 8.462 0.000
0.000 0.000 5.878
Al Hg O S
4 4 4 4
Cartesian
5.728 3.149 0.231
2.643 5.313 0.231
3.527 3.149 3.170
0.442 5.313 3.170
0.995 0.394 2.614
4.080 8.068 2.614
2.090 0.394 5.553
5.175 8.068 5.553
0.197 1.628 0.698
3.282 6.834 0.698
2.888 1.628 3.637
5.973 6.834 3.637
3.528 3.302 0.867
0.443 5.160 0.867
5.727 3.302 3.806
2.642 5.160 3.806
```